# 1
{"formula": "CdHgAsBr2", "functional": "GGA-PBEsol", "state": "relaxed", "m_tot_mub_per_cell": 1.245, "spacegroup": "P4/mmm, No. 123", "raw_formation_energy_ev_per_atom": 0.379, "dos_at_fermi_per_ev_cell": 2.1, "mass_density_g_cm3": 5.91, "lattice_angstrom": [[5.266, 0.000, 0.000], [0.000, 5.406, 0.000], [0.000, 0.000, 5.406]], "species": ["As", "Hg", "Br", "Br", "Cd"], "fractional_positions": [[0.500, 0.000, 0.000], [0.000, 0.000, 0.000], [0.000, 0.000, 0.500], [0.000, 0.500, 0.000], [0.500, 0.500, 0.500]]}


# 2
{"formula": "Co5Rh", "functional": "GGA-PBEsol", "state": "relaxed", "m_tot_mub_per_cell": 8.814, "spacegroup": "P-3m1, No. 164", "formation_enthalpy_0k_mev_per_atom": 78, "dos_at_fermi_per_ev_cell": 8.1, "mass_density_g_cm3": 9.92, "lattice_angstrom": [[2.519, 0.000, 0.000], [-1.260, 2.182, 0.000], [0.000, 0.000, 12.106]], "species": ["Rh", "Co", "Co", "Co", "Co", "Co"], "fractional_positions": [[0.000, 0.000, 0.000], [0.333, 0.667, 0.663], [0.667, 0.333, 0.823], [0.000, 0.000, 0.500], [0.333, 0.667, 0.177], [0.667, 0.333, 0.337]]}


# 3
{"formula": "CdIrSe2", "functional": "GGA-PBEsol", "state": "relaxed", "m_tot_mub_per_cell": 0.000, "spacegroup": "R-3m, No. 166", "raw_formation_energy_ev_per_atom": 0.147, "dos_at_fermi_per_ev_cell": 1.8, "mass_density_g_cm3": 9.89, "lattice_angstrom": [[-1.769, 2.221, 0.060], [-2.620, -0.299, 1.054], [2.292, 3.359, 10.480]], "species": ["Ir", "Se", "Se", "Cd"], "fractional_positions": [[0.000, 0.000, 0.000], [0.929, 0.929, 0.214], [0.071, 0.071, 0.786], [0.500, 0.500, 0.500]]}